1.
An optimized crystal structure of AlGeF2, computed with PBE.

Lattice parameters (Å, degrees): 7.8817 7.8817 7.8817 21.07 21.07 21.07
Sites, in units of the cell vectors:
1 Al 0.0000 0.0000 0.0000
2 Ge 0.5000 0.5000 0.5000
3 F 0.0795 0.0795 0.0795
4 F 0.9205 0.9205 0.9205

The calculation puts the density at 4.12 g cm⁻³. Its spin magnetization is 0.0 μB per formula unit. The calculation puts the excess energy over the best structure of this formula in the dataset at 0.0000 eV per atom. Its space group is No. 166. The density of states at the Fermi level comes out at 0.432 states/eV/cell.

***

2.
An optimized crystal structure of AlGeF2, computed with PBE.

Lattice parameters (Å, degrees): 5.7727 5.7727 5.7727 60.00 60.00 60.00
Sites, in units of the cell vectors:
1 Al 0.1250 0.1250 0.1250
2 Al 0.8750 0.8750 0.8750
3 Ge 0.3750 0.3750 0.3750
4 Ge 0.6250 0.6250 0.6250
5 F 0.0000 0.0000 0.0000
6 F 0.0000 0.0000 0.5000
7 F 0.0000 0.5000 0.0000
8 F 0.5000 0.0000 0.0000

The calculation puts the density at 3.36 g cm⁻³. Its spin magnetization is 0.0 μB per formula unit. The calculation puts the excess energy over the best structure of this formula in the dataset at 0.0742 eV per atom. Its space group is No. 227. The density of states at the Fermi level comes out at 1.505 states/eV/cell.

***

3.
An optimized crystal structure of AlGeF2, computed with PBE.

Lattice parameters (Å, degrees): 4.3892 4.3892 4.3892 60.00 60.00 60.00
Sites, in units of the cell vectors:
1 Al 0.0000 0.0000 0.0000
2 Ge 0.5000 0.5000 0.5000
3 F 0.2500 0.2500 0.2500
4 F 0.7500 0.7500 0.7500

The calculation puts the density at 3.82 g cm⁻³. Its spin magnetization is 0.0 μB per formula unit. The calculation puts the excess energy over the best structure of this formula in the dataset at 0.7080 eV per atom. Its space group is No. 225. The density of states at the Fermi level comes out at 1.880 states/eV/cell.

***

4.
An optimized crystal structure of Al2GeF, computed with PBE.

Lattice parameters (Å, degrees): 4.4057 4.4057 4.4057 60.00 60.00 60.00
Sites, in units of the cell vectors:
1 Al 0.2500 0.2500 0.2500
2 Al 0.7500 0.7500 0.7500
3 Ge 0.0000 0.0000 0.0000
4 F 0.5000 0.5000 0.5000

The calculation puts the density at 4.00 g cm⁻³. Its spin magnetization is 0.0 μB per formula unit. The calculation puts the excess energy over the best structure of this formula in the dataset at 0.0000 eV per atom. Its space group is No. 225. The density of states at the Fermi level comes out at 1.278 states/eV/cell.

***

5.
An optimized crystal structure of Al2GeF, computed with PBE.

Lattice parameters (Å, degrees): 7.1684 7.1684 7.1684 140.30 140.30 57.40
Sites, in units of the cell vectors:
1 Al 0.0539 0.6250 0.9289
2 Al 0.3750 0.3039 0.4289
3 Al 0.6961 0.1250 0.0711
4 Al 0.8750 0.9461 0.5711
5 Ge 0.2500 0.7500 0.5000
6 Ge 0.5000 0.5000 0.0000
7 F 0.0000 0.0000 0.0000
8 F 0.7500 0.2500 0.5000

The calculation puts the density at 3.25 g cm⁻³. Its spin magnetization is 0.0 μB per formula unit. The calculation puts the excess energy over the best structure of this formula in the dataset at 0.0343 eV per atom. Its space group is No. 122. The density of states at the Fermi level comes out at 3.309 states/eV/cell.

***

6.
An optimized crystal structure of AlGe2HF, computed with PBE.

Lattice parameters (Å, degrees): 3.9790 3.9790 4.4224 90.00 90.00 90.00
Sites, in units of the cell vectors:
1 Al 0.0000 0.0000 0.0000
2 Ge 0.0000 0.5000 0.5000
3 Ge 0.5000 0.0000 0.5000
4 H 0.5000 0.5000 0.5000
5 F 0.5000 0.5000 0.0000

The calculation puts the density at 4.56 g cm⁻³. Its spin magnetization is 0.0 μB per formula unit. For the total energy, the calculation gives -0.2707 Ry per atom. Its space group is No. 123. The density of states at the Fermi level comes out at 1.780 states/eV/cell.

***

7.
An optimized crystal structure of AlGeH2F, computed with PBE.

Lattice parameters (Å, degrees): 3.8585 3.8585 3.8329 90.00 90.00 90.00
Sites, in units of the cell vectors:
1 Al 0.0000 0.0000 0.0000
2 Ge 0.5000 0.5000 0.5000
3 H 0.0000 0.5000 0.0000
4 H 0.5000 0.0000 0.0000
5 F 0.0000 0.0000 0.5000

The calculation puts the density at 3.51 g cm⁻³. Its spin magnetization is 0.0 μB per formula unit. For the total energy, the calculation gives -0.2636 Ry per atom. Its space group is No. 123. The density of states at the Fermi level comes out at 1.882 states/eV/cell.

***

8.
An optimized crystal structure of AlHgGe2F, computed with PBE.

Lattice parameters (Å, degrees): 5.1785 5.1785 3.6269 90.00 90.00 90.00
Sites, in units of the cell vectors:
1 Al 0.0000 0.0000 0.0000
2 Hg 0.5000 0.5000 0.5000
3 Ge 0.0000 0.5000 0.0000
4 Ge 0.5000 0.0000 0.0000
5 F 0.0000 0.0000 0.5000

The calculation puts the density at 6.69 g cm⁻³. Its spin magnetization is 0.0 μB per formula unit. For the total energy, the calculation gives -0.2592 Ry per atom. Its space group is No. 123. The density of states at the Fermi level comes out at 1.964 states/eV/cell.

***

9.
An optimized crystal structure of AlInGeF6, computed with PBE.

Lattice parameters (Å, degrees): 5.5475 5.5475 5.7954 90.00 90.00 120.00
Sites, in units of the cell vectors:
1 Al 0.0000 0.0000 0.0000
2 In 0.3333 0.6667 0.4774
3 Ge 0.6667 0.3333 0.0156
4 F 0.0935 0.3066 0.1683
5 F 0.2131 0.9065 0.1683
6 F 0.3186 0.1989 0.8117
7 F 0.6934 0.7869 0.1683
8 F 0.8011 0.1197 0.8117
9 F 0.8803 0.6814 0.8117

The calculation puts the density at 3.53 g cm⁻³. Its spin magnetization is 0.0 μB per formula unit. For the total energy, the calculation gives -0.3749 Ry per atom. Its space group is No. 143. The density of states at the Fermi level comes out at 0.000 states/eV/cell.

***

10.
An optimized crystal structure of KAlGe2F8, computed with PBE.

Lattice parameters (Å, degrees): 4.9976 5.5362 7.3099 97.14 93.06 94.34
Sites, in units of the cell vectors:
1 K 0.0000 0.0000 0.0000
2 Al 0.0000 0.0000 0.5000
3 Ge 0.4804 0.5701 0.2805
4 Ge 0.5196 0.4299 0.7195
5 F 0.1465 0.1929 0.3494
6 F 0.2268 0.7589 0.4244
7 F 0.2532 0.1264 0.6955
8 F 0.3162 0.6591 0.0672
9 F 0.6838 0.3409 0.9328
10 F 0.7468 0.8736 0.3045
11 F 0.7732 0.2411 0.5756
12 F 0.8535 0.8071 0.6506

The calculation puts the density at 3.02 g cm⁻³. Its spin magnetization is 0.0 μB per formula unit. For the total energy, the calculation gives -0.3773 Ry per atom. Its space group is No. 2. The density of states at the Fermi level comes out at 0.000 states/eV/cell.